Model A:
In5Re | PBE-GGA | optimized geometry

total magnetic moment: 0.000 μB/atom
Fermi-level density of states: 3.1 states/eV/cell

The structure in CIF format:
```
data_In5Re
_cell_length_a 5.3712
_cell_length_b 5.3712
_cell_length_c 5.2121
_cell_angle_alpha 90.00
_cell_angle_beta 90.00
_cell_angle_gamma 120.00
_space_group_name_H-M_alt 'P -6 2 m'
_space_group_IT_number 189
_space_group_name_Hall 'P -6 -2'
loop_
_atom_site_label
_atom_site_type_symbol
_atom_site_fract_x
_atom_site_fract_y
_atom_site_fract_z
In1 In 0.0000 0.6886 0.0000
In2 In 0.3333 0.6667 0.5000
Re1 Re 0.0000 0.0000 0.5000
```


Model B:
In5Re | PBE-GGA | optimized geometry

total magnetic moment: 0.000 μB/atom
Fermi-level density of states: 6.2 states/eV/cell

The structure in CIF format:
```
data_In5Re
_cell_length_a 10.5769
_cell_length_b 2.9993
_cell_length_c 9.5098
_cell_angle_alpha 90.00
_cell_angle_beta 104.04
_cell_angle_gamma 90.00
_space_group_name_H-M_alt 'C 1 m 1'
_space_group_IT_number 8
loop_
_space_group_symop_operation_xyz
'x,y,z'
'x,-y,z'
'x+1/2,y+1/2,z'
'x+1/2,-y+1/2,z'
loop_
_atom_site_label
_atom_site_type_symbol
_atom_site_fract_x
_atom_site_fract_y
_atom_site_fract_z
In1 In 0.0000 0.0000 0.0000
In2 In 0.0799 0.5000 0.3315
In3 In 0.1730 0.5000 0.7458
In4 In 0.2876 0.0000 0.1551
In5 In 0.3734 0.5000 0.4896
Re1 Re 0.4052 0.0000 0.7464
```


Model C:
In5Re | PBE-GGA | optimized geometry

total magnetic moment: 0.099 μB/atom
Fermi-level density of states: 14.9 states/eV/cell

The structure in CIF format:
```
data_In5Re
_cell_length_a 8.2235
_cell_length_b 8.2235
_cell_length_c 8.2235
_cell_angle_alpha 90.00
_cell_angle_beta 90.00
_cell_angle_gamma 90.00
_space_group_name_H-M_alt 'F -4 3 m'
_space_group_IT_number 216
_space_group_name_Hall 'F -4 2 3'
loop_
_atom_site_label
_atom_site_type_symbol
_atom_site_fract_x
_atom_site_fract_y
_atom_site_fract_z
In1 In 0.0000 0.0000 0.0000
In2 In 0.1243 0.1243 0.6243
Re1 Re 0.2500 0.2500 0.2500
```


Most stable structure among those shown: model B.